# Sr3ClO PBE relaxed
# Offset from the most stable computed form in eV per atom: 0.0000
# Formation energy (no corrections) in eV per atom: -1.238
data_Sr3ClO
_cell_length_a 5.330
_cell_length_b 5.330
_cell_length_c 5.330
_cell_angle_alpha 90.00
_cell_angle_beta 90.00
_cell_angle_gamma 90.00
_space_group_name_H-M_alt 'P m -3 m'
_space_group_IT_number 221
_space_group_name_Hall '-P 4 2 3'
loop_
_atom_site_label
_atom_site_fract_x
_atom_site_fract_y
_atom_site_fract_z
Sr1 0.000 0.000 0.500
Cl1 0.500 0.500 0.500
O1 0.000 0.000 0.000